Crystalline Be2CrSe at its relaxed geometry. Source: the Alexandria database, functional PBE.

```
8
Lattice="8.293 0.000 0.000 0.000 3.280 0.000 -1.183 0.000 3.419" Properties=species:S:1:pos:R:3 pbc="T T T"
Be 0.000 0.000 0.000
Be 1.819 1.640 0.590
Be 4.147 1.640 0.000
Be 5.966 0.000 0.590
Cr 1.171 0.000 2.315
Cr 5.317 1.640 2.315
Se -0.606 1.640 1.790
Se 3.541 0.000 1.790
```

Summary:
* energy: -4.88 eV per atom
* SG: Cm
* uncorrected formation energy: 0.26 eV/atom

***

Crystalline BeCr3Se at its relaxed geometry. Source: the Alexandria database, functional PBE.

```
5
Lattice="4.183 0.000 0.000 0.000 4.183 0.000 0.000 0.000 4.183" Properties=species:S:1:pos:R:3 pbc="T T T"
Be 0.000 0.000 0.000
Cr 0.000 0.000 2.092
Cr 0.000 2.092 0.000
Cr 2.092 0.000 0.000
Se 2.092 2.092 2.092
```

Summary:
* energy: -6.42 eV per atom
* E above lowest polymorph: 0 meV/atom
* SG: Pm-3m
* uncorrected formation energy: 0.80 eV/atom

***

Crystalline BeCrSe3 at its relaxed geometry. Source: the Alexandria database, functional PBE.

```
5
Lattice="4.516 0.000 0.000 0.000 4.516 0.000 0.000 0.000 4.516" Properties=species:S:1:pos:R:3 pbc="T T T"
Be 0.000 0.000 0.000
Cr 2.258 2.258 2.258
Se 0.000 0.000 2.258
Se 0.000 2.258 0.000
Se 2.258 0.000 0.000
```

Summary:
* energy: -4.01 eV per atom
* E above lowest polymorph: 135 meV/atom
* SG: Pm-3m
* uncorrected formation energy: 0.75 eV/atom

***

Crystalline BeCr2Se at its relaxed geometry. Source: the Alexandria database, functional PBE.

```
8
Lattice="3.063 0.000 0.000 0.000 4.137 0.000 0.000 0.000 7.482" Properties=species:S:1:pos:R:3 pbc="T T T"
Be 0.000 0.000 0.000
Be 1.532 2.068 3.741
Cr 0.000 2.068 1.897
Cr 0.000 2.068 5.586
Cr 1.532 0.000 1.844
Cr 1.532 0.000 5.638
Se 0.000 0.000 3.741
Se 1.532 2.068 0.000
```

Summary:
* energy: -6.24 eV per atom
* E above lowest polymorph: 266 meV/atom
* SG: Immm
* uncorrected formation energy: 0.37 eV/atom

***

Crystalline BeCr2Se at its relaxed geometry. Source: the Alexandria database, functional PBE.

```
8
Lattice="8.310 0.000 0.000 0.000 2.965 0.000 -0.958 0.000 4.043" Properties=species:S:1:pos:R:3 pbc="T T T"
Be 0.000 0.000 0.000
Be 4.155 1.483 0.000
Cr 1.371 0.000 3.301
Cr 3.531 0.000 2.076
Cr 5.526 1.483 3.301
Cr 7.686 1.483 2.076
Se 1.714 1.483 1.148
Se 5.869 0.000 1.148
```

Summary:
* energy: -6.36 eV per atom
* E above lowest polymorph: 149 meV/atom
* SG: Cm
* uncorrected formation energy: 0.26 eV/atom

***

Crystalline BeCr2Se at its relaxed geometry. Source: the Alexandria database, functional PBE.

```
16
Lattice="5.733 0.000 0.000 0.000 5.733 0.000 0.000 0.000 5.733" Properties=species:S:1:pos:R:3 pbc="T T T"
Be 0.000 0.000 0.000
Be 0.000 2.867 2.867
Be 2.867 0.000 2.867
Be 2.867 2.867 0.000
Cr 1.433 1.433 1.433
Cr 1.433 1.433 4.300
Cr 1.433 4.300 1.433
Cr 1.433 4.300 4.300
Cr 4.300 1.433 1.433
Cr 4.300 1.433 4.300
Cr 4.300 4.300 1.433
Cr 4.300 4.300 4.300
Se 0.000 0.000 2.867
Se 0.000 2.867 0.000
Se 2.867 0.000 0.000
Se 2.867 2.867 2.867
```

Summary:
* energy: -6.24 eV per atom
* E above lowest polymorph: 268 meV/atom
* SG: Fm-3m
* uncorrected formation energy: 0.38 eV/atom

***

Crystalline BeCr2Se at its relaxed geometry. Source: the Alexandria database, functional PBE.

```
16
Lattice="3.475 0.000 0.000 0.000 3.475 0.000 0.000 0.000 16.943" Properties=species:S:1:pos:R:3 pbc="T T T"
Be 0.000 0.000 0.000
Be 0.000 1.738 4.236
Be 1.738 0.000 12.707
Be 1.738 1.738 8.471
Cr 0.729 0.869 2.118
Cr 0.869 2.467 6.354
Cr 0.869 2.746 14.825
Cr 1.009 0.869 10.589
Cr 2.467 2.607 10.589
Cr 2.607 0.729 14.825
Cr 2.607 1.009 6.354
Cr 2.746 2.607 2.118
Se 0.000 0.000 8.471
Se 0.000 1.738 12.707
Se 1.738 0.000 4.236
Se 1.738 1.738 0.000
```

Summary:
* energy: -6.20 eV per atom
* E above lowest polymorph: 310 meV/atom
* SG: I-42d
* uncorrected formation energy: 0.42 eV/atom

***

Crystalline BeCr2Se at its relaxed geometry. Source: the Alexandria database, functional PBE.

```
8
Lattice="3.020 0.000 0.000 0.000 4.322 0.000 0.000 0.000 8.353" Properties=species:S:1:pos:R:3 pbc="T T T"
Be 0.000 0.000 0.000
Be 1.510 2.161 0.000
Cr 0.000 0.000 4.861
Cr 0.000 2.161 6.680
Cr 1.510 0.000 6.680
Cr 1.510 2.161 4.861
Se 0.000 2.161 2.805
Se 1.510 0.000 2.805
```

Summary:
* energy: -6.16 eV per atom
* E above lowest polymorph: 346 meV/atom
* SG: Cmm2
* uncorrected formation energy: 0.45 eV/atom

***

Crystalline Be2CrSe at its relaxed geometry. Source: the Alexandria database, functional PBE.

```
4
Lattice="2.812 0.000 0.000 0.000 2.812 0.000 0.000 0.000 7.658" Properties=species:S:1:pos:R:3 pbc="T T T"
Be 0.000 0.000 0.000
Be 1.406 1.406 0.947
Cr 0.000 0.000 2.459
Se 1.406 1.406 3.872
```

Summary:
* energy: -4.83 eV per atom
* SG: P4mm
* uncorrected formation energy: 0.31 eV/atom

***

Crystalline BeCrSe4 at its relaxed geometry. Source: the Alexandria database, functional PBE.

```
6
Lattice="0.000 3.996 3.996 3.996 0.000 3.996 3.996 3.996 0.000" Properties=species:S:1:pos:R:3 pbc="T T T"
Be 0.000 0.000 0.000
Cr 1.998 1.998 1.998
Se 5.000 2.992 2.992
Se 2.992 5.000 2.992
Se 2.992 2.992 5.000
Se 5.000 5.000 5.000
```

Summary:
* energy: -3.60 eV per atom
* SG: F-43m
* uncorrected formation energy: 0.95 eV/atom

***

Crystalline BeCr2Se at its relaxed geometry. Source: the Alexandria database, functional PBE.

```
4
Lattice="3.040 0.000 0.000 0.000 4.029 0.000 -0.928 0.000 4.506" Properties=species:S:1:pos:R:3 pbc="T T T"
Be 0.000 0.000 0.000
Cr 0.878 2.014 0.804
Cr 1.234 2.014 3.702
Se 1.056 0.000 2.253
```

Summary:
* energy: -6.29 eV per atom
* E above lowest polymorph: 216 meV/atom
* SG: P2/m
* uncorrected formation energy: 0.32 eV/atom

***

Crystalline Be2CrSe at its relaxed geometry. Source: the Alexandria database, functional PBE.

```
4
Lattice="3.314 0.000 0.000 0.000 3.335 0.000 0.000 0.000 4.230" Properties=species:S:1:pos:R:3 pbc="T T T"
Be 0.000 0.000 0.000
Be 0.000 1.668 2.115
Cr 1.657 0.000 2.115
Se 1.657 1.668 0.000
```

Summary:
* energy: -4.81 eV per atom
* SG: Pmmm
* uncorrected formation energy: 0.33 eV/atom

***

Which of these has the highest energy? BeCrSe4